1.
Below is crystalline Mn2AuO at its relaxed geometry, with properties calculated at the PBE with a Hubbard U level.

Lattice parameters (Å, degrees): 6.242 6.242 7.098 90.00 90.00 90.00
Space group I-42d (No. 122)
One atom of each set of equivalent atoms:
Mn 0.163 0.250 0.125
Au 0.000 0.000 0.500
O 0.000 0.000 0.000

## Properties
Uncorrected energy (eV per atom): -6.424

***

2.
Below is crystalline MnAu2O2 at its relaxed geometry, with properties calculated at the PBE with a Hubbard U level.

Lattice parameters (Å, degrees): 6.883 6.883 3.141 90.00 90.00 90.00
Space group P4/mbm (No. 127)
One atom of each set of equivalent atoms:
Mn 0.000 0.000 0.000
Au 0.134 0.366 0.000
O 0.193 0.693 0.500

## Properties
Excess energy over the best structure of this formula in the dataset (meV/atom): 68
Uncorrected energy (eV per atom): -4.462

***

3.
Below is crystalline MnAu2O2 at its relaxed geometry, with properties calculated at the PBE with a Hubbard U level.

Lattice parameters (Å, degrees): 3.711 3.711 10.790 90.00 90.00 90.00
Space group I4/mmm (No. 139)
One atom of each set of equivalent atoms:
Mn 0.000 0.000 0.000
Au 0.000 0.000 0.377
O 0.000 0.500 0.250

## Properties
Excess energy over the best structure of this formula in the dataset (meV/atom): 0
Uncorrected energy (eV per atom): -4.530

***

4.
Below is crystalline Mn3AuO at its relaxed geometry, with properties calculated at the PBE with a Hubbard U level.

Lattice parameters (Å, degrees): 5.071 5.071 5.071 90.00 90.00 90.00
Space group Pm-3m (No. 221)
One atom of each set of equivalent atoms:
Mn 0.000 0.000 0.500
Au 0.000 0.000 0.000
O 0.500 0.500 0.500

## Properties
Uncorrected energy (eV per atom): -5.283

***

5.
Below is crystalline Mn2AuO4 at its relaxed geometry, with properties calculated at the PBE with a Hubbard U level.

Lattice parameters (Å, degrees): 4.109 4.109 11.006 90.00 90.00 90.00
Space group I4/mmm (No. 139)
One atom of each set of equivalent atoms:
Mn 0.000 0.000 0.141
Au 0.000 0.000 0.500
O 0.000 0.000 0.317
O 0.000 0.500 0.000

## Properties
Uncorrected energy (eV per atom): -5.923

***

6.
Below is crystalline MnAu3O at its relaxed geometry, with properties calculated at the PBE with a Hubbard U level.

Lattice parameters (Å, degrees): 4.528 4.528 4.528 90.00 90.00 90.00
Space group Pm-3m (No. 221)
One atom of each set of equivalent atoms:
Mn 0.000 0.000 0.000
Au 0.000 0.500 0.500
O 0.500 0.500 0.500

## Properties
Excess energy over the best structure of this formula in the dataset (meV/atom): 0
Uncorrected energy (eV per atom): -4.061

***

7.
Below is crystalline MnAu3O at its relaxed geometry, with properties calculated at the PBE with a Hubbard U level.

Lattice parameters (Å, degrees): 4.967 4.967 4.967 90.00 90.00 90.00
Space group Pm-3m (No. 221)
One atom of each set of equivalent atoms:
Mn 0.000 0.000 0.000
Au 0.000 0.000 0.500
O 0.500 0.500 0.500

## Properties
Excess energy over the best structure of this formula in the dataset (meV/atom): 897
Uncorrected energy (eV per atom): -3.164

***

8.
Below is crystalline Mn3AuO at its relaxed geometry, with properties calculated at the PBE with a Hubbard U level.

Lattice parameters (Å, degrees): 4.312 4.312 4.312 90.00 90.00 90.00
Space group Pm-3m (No. 221)
One atom of each set of equivalent atoms:
Mn 0.000 0.000 0.500
Au 0.500 0.500 0.500
O 0.000 0.000 0.000

## Properties
Uncorrected energy (eV per atom): -6.574

***

9.
Below is crystalline Mn2OsAuO at its relaxed geometry, with properties calculated at the PBE with a Hubbard U level.

Lattice parameters (Å, degrees): 5.068 5.068 4.960 90.00 90.00 90.00
Space group P4/mmm (No. 123)
One atom of each set of equivalent atoms:
Mn 0.000 0.500 0.000
Os 0.000 0.000 0.500
Au 0.000 0.000 0.000
O 0.500 0.500 0.500

## Properties
Uncorrected energy (eV per atom): -5.209

***

10.
Below is crystalline MnPAuO2 at its relaxed geometry, with properties calculated at the PBE with a Hubbard U level.

Lattice parameters (Å, degrees): 4.007 4.007 5.041 90.00 90.00 90.00
Space group P4/mmm (No. 123)
One atom of each set of equivalent atoms:
Mn 0.000 0.000 0.000
P 0.500 0.500 0.000
Au 0.500 0.500 0.500
O 0.000 0.500 0.500

## Properties
Excess energy over the best structure of this formula in the dataset (meV/atom): 636
Uncorrected energy (eV per atom): -4.805

***

11.
Below is crystalline MnPAuO2 at its relaxed geometry, with properties calculated at the PBE with a Hubbard U level.

Lattice parameters (Å, degrees): 3.655 3.655 5.599 90.00 90.00 90.00
Space group P4/mmm (No. 123)
One atom of each set of equivalent atoms:
Mn 0.000 0.000 0.000
P 0.000 0.000 0.500
Au 0.500 0.500 0.500
O 0.000 0.500 0.000

## Properties
Excess energy over the best structure of this formula in the dataset (meV/atom): 0
Uncorrected energy (eV per atom): -5.440

***

12.
Below is crystalline PaMnAu2O8 at its relaxed geometry, with properties calculated at the PBE with a Hubbard U level.

Lattice parameters (Å, degrees): 6.895 6.895 7.077 90.00 90.00 90.00
Space group I-4m2 (No. 119)
One atom of each set of equivalent atoms:
Pa 0.000 0.000 0.000
Mn 0.000 0.500 0.250
Au 0.000 0.000 0.500
Au 0.000 0.500 0.750
O 0.000 0.184 0.275
O 0.000 0.323 0.977

## Properties
Uncorrected energy (eV per atom): -6.218

***

13.
Below is crystalline PaMn2AuO8 at its relaxed geometry, with properties calculated at the PBE with a Hubbard U level.

Lattice parameters (Å, degrees): 6.888 6.888 6.971 90.00 90.00 90.00
Space group I-4m2 (No. 119)
One atom of each set of equivalent atoms:
Pa 0.000 0.000 0.000
Mn 0.000 0.000 0.500
Mn 0.000 0.500 0.250
Au 0.000 0.500 0.750
O 0.000 0.200 0.735
O 0.000 0.310 0.101

## Properties
Uncorrected energy (eV per atom): -7.021

***

14.
Below is crystalline MnPtAu2O at its relaxed geometry, with properties calculated at the PBE with a Hubbard U level.

Lattice parameters (Å, degrees): 5.058 5.058 3.498 90.00 90.00 90.00
Space group P4/mmm (No. 123)
One atom of each set of equivalent atoms:
Mn 0.000 0.000 0.000
Pt 0.500 0.500 0.500
Au 0.000 0.500 0.000
O 0.000 0.000 0.500

## Properties
Uncorrected energy (eV per atom): -4.771

***

15.
Below is crystalline MnPt2AuO at its relaxed geometry, with properties calculated at the PBE with a Hubbard U level.

Lattice parameters (Å, degrees): 4.934 4.934 3.481 90.00 90.00 90.00
Space group P4/mmm (No. 123)
One atom of each set of equivalent atoms:
Mn 0.000 0.000 0.000
Pt 0.000 0.500 0.000
Au 0.500 0.500 0.500
O 0.000 0.000 0.500

## Properties
Uncorrected energy (eV per atom): -5.212

***

16.
Below is crystalline MnSiAu2O at its relaxed geometry, with properties calculated at the PBE with a Hubbard U level.

Lattice parameters (Å, degrees): 4.779 4.779 3.838 90.00 90.00 90.00
Space group P4/mmm (No. 123)
One atom of each set of equivalent atoms:
Mn 0.000 0.000 0.000
Si 0.500 0.500 0.000
Au 0.000 0.500 0.500
O 0.000 0.000 0.500

## Properties
Uncorrected energy (eV per atom): -4.713

***

17.
Below is crystalline TaMnAu2O at its relaxed geometry, with properties calculated at the PBE with a Hubbard U level.

Lattice parameters (Å, degrees): 4.911 4.911 3.826 90.00 90.00 90.00
Space group P4/mmm (No. 123)
One atom of each set of equivalent atoms:
Ta 0.000 0.000 0.000
Mn 0.500 0.500 0.000
Au 0.000 0.500 0.500
O 0.000 0.000 0.500

## Properties
Uncorrected energy (eV per atom): -6.140

***

18.
Below is crystalline MnZnAu2O6 at its relaxed geometry, with properties calculated at the PBE with a Hubbard U level.

Lattice parameters (Å, degrees): 12.629 6.504 7.085 90.00 124.09 90.00
Space group C2/c (No. 15)
One atom of each set of equivalent atoms:
Mn 0.000 0.249 0.250
Zn 0.000 0.252 0.750
Au 0.250 0.000 0.250
O 0.001 0.249 0.006
O 0.132 0.022 0.382
O 0.132 0.477 0.382

## Properties
Uncorrected energy (eV per atom): -4.991